a | Computed, not measured: an optimized crystal structure of CaFeRh2 at the PBE-GGA level of DFT.

The space group is I-42d (No. 122) and the conventional cell measures 4.5408, 4.5408 and 16.6307 Å, with angles of 90.00, 90.00 and 90.00 degrees. The distinct sites, in fractional coordinates, are Ca at (0.0000, 0.0000, 0.0000), Fe at (0.0000, 0.0000, 0.5000) and Rh at (0.1111, 0.2500, 0.6250).

For the magnetic moment, the calculation gives 12.9 Bohr magnetons per cell. The crystal system is tetragonal.

***

b | Computed, not measured: an optimized crystal structure of CaFeRh2 at the PBE-GGA level of DFT.

The space group is Pmmm (No. 47) and the conventional cell measures 3.1799, 4.3007 and 4.7739 Å, with angles of 90.00, 90.00 and 90.00 degrees. The distinct sites, in fractional coordinates, are Ca at (0.0000, 0.0000, 0.0000), Fe at (0.5000, 0.0000, 0.5000), Rh at (0.0000, 0.5000, 0.5000) and Rh at (0.5000, 0.5000, 0.0000).

For the magnetic moment, the calculation gives 3.9 Bohr magnetons per cell. The crystal system is orthorhombic.

***

Most stable structure, least stable structure: b, a.

***

a | Computed, not measured: an optimized crystal structure of CaFeRh2 at the PBE-GGA level of DFT.

The space group is Cm (No. 8) and the conventional cell measures 10.5607, 2.9433 and 4.6841 Å, with angles of 90.00, 114.97 and 90.00 degrees. The distinct sites, in fractional coordinates, are Ca at (0.0000, 0.0000, 0.0000), Fe at (0.2203, 0.0000, 0.6501), Rh at (0.0007, 0.5000, 0.5141) and Rh at (0.2674, 0.5000, 0.1690).

For the magnetic moment, the calculation gives 7.2 Bohr magnetons per cell. The crystal system is monoclinic.

***

b | Computed, not measured: an optimized crystal structure of CaFeRh2 at the PBE-GGA level of DFT.

The space group is R3m (No. 160, hexagonal axes) and the conventional cell measures 2.8810, 2.8810 and 27.2120 Å, with angles of 90.00, 90.00 and 120.00 degrees. The distinct sites, in fractional coordinates, are Ca at (0.0000, 0.0000, 0.0000), Fe at (0.0000, 0.0000, 0.2395), Rh at (0.0000, 0.0000, 0.5017) and Rh at (0.0000, 0.0000, 0.7536).

For the magnetic moment, the calculation gives 6.8 Bohr magnetons per cell. The crystal system is trigonal.

***

c | Computed, not measured: an optimized crystal structure of CaFeRh2 at the PBE-GGA level of DFT.

The space group is R-3m (No. 166, hexagonal axes) and the conventional cell measures 3.0454, 3.0454 and 25.0830 Å, with angles of 90.00, 90.00 and 120.00 degrees. The distinct sites, in fractional coordinates, are Ca at (0.0000, 0.0000, 0.0000), Fe at (0.0000, 0.0000, 0.5000) and Rh at (0.0000, 0.0000, 0.2407).

For the magnetic moment, the calculation gives 12.6 Bohr magnetons per cell. The crystal system is trigonal.

***

d | Computed, not measured: an optimized crystal structure of CaFeRh2 at the PBE-GGA level of DFT.

The space group is Immm (No. 71) and the conventional cell measures 3.1331, 4.8504 and 8.7754 Å, with angles of 90.00, 90.00 and 90.00 degrees. The distinct sites, in fractional coordinates, are Ca at (0.0000, 0.0000, 0.0000), Fe at (0.0000, 0.0000, 0.5000) and Rh at (0.0000, 0.5000, 0.2224).

For the magnetic moment, the calculation gives 7.9 Bohr magnetons per cell. The crystal system is orthorhombic.

***

Most stable structure, least stable structure: a, b.